(1)
The following is a DFT calculation (PBE-GGA) of a relaxed structure of LaNdDyEr.

The structure belongs to space group F-43m (No. 216); the cell edges are 8.154, 8.154 and 8.154 Å and the angles 90.00°, 90.00° and 90.00°. Symmetry generates all atoms from La at (0.000, 0.000, 0.000), Nd at (0.000, 0.000, 0.500), Dy at (0.250, 0.250, 0.250) and Er at (0.250, 0.250, 0.750).

The value obtained for the energy above the most stable polymorph in this dataset is 0 meV/atom. The value obtained for the total energy is -4.617 eV/atom. The calculation puts the formation energy at 0.10 eV/atom.

(2)
The following is a DFT calculation (PBE-GGA) of a relaxed structure of La2NdDy3Er6.

The structure belongs to space group C2/m (No. 12); the cell edges are 6.196, 10.729 and 11.770 Å and the angles 90.00°, 100.08° and 90.00°. Symmetry generates all atoms from La at (0.000, 0.167, 0.000), Nd at (0.000, 0.500, 0.000), Dy at (0.000, 0.000, 0.500), Dy at (0.000, 0.333, 0.500), Er at (0.247, 0.500, 0.745) and Er at (0.248, 0.166, 0.745).

The value obtained for the total energy is -4.627 eV/atom. The calculation puts the formation energy at 0.02 eV/atom.

(3)
The following is a DFT calculation (PBE-GGA) of a relaxed structure of LaNd2DyEr5.

The structure belongs to space group I4/mcm (No. 140); the cell edges are 8.733, 8.733 and 15.486 Å and the angles 90.00°, 90.00° and 90.00°. Symmetry generates all atoms from La at (0.000, 0.000, 0.250), Nd at (0.117, 0.383, 0.000), Dy at (0.000, 0.500, 0.250), Er at (0.000, 0.000, 0.000) and Er at (0.210, 0.290, 0.363).

The value obtained for the total energy is -4.395 eV/atom. The calculation puts the formation energy at 0.26 eV/atom.